Here is Li2FePHO5 after structural relaxation from Alexandria via LeMat-Bulk. Energies are from GGA+U.

Properties
DOS at the Fermi energy   0.00 states/eV per cell
Energy   -6.27 eV/atom
Size of the total moment   4.00 μB/f.u.

Cell: 5.4091 5.5333 7.6241 Å, 108.13 110.19 94.33°
With the nearest neighbours (Å) after each atom.
Fractional coordinates of all 20 atoms:
1 Li 0.0162 0.1459 0.3426  3 O 2.00-2.16, 1 H 2.20
2 Li 0.2651 0.3896 0.1895  4 O 1.96-2.15
3 Li 0.7349 0.6104 0.8105  4 O 1.96-2.15
4 Li 0.9838 0.8541 0.6574  3 O 2.00-2.16, 1 H 2.20
5 Fe 0.5000 0.0000 0.0000  6 O 2.13-2.26
6 Fe 0.5000 0.0000 0.5000  6 O 2.10-2.21
7 P 0.1710 0.3722 0.7415  4 O 1.55-1.57
8 P 0.8290 0.6278 0.2585  4 O 1.55-1.57
9 H 0.1827 0.9078 0.1382  1 O 0.98
10 H 0.8173 0.0922 0.8618  1 O 0.98
11 O 0.1051 0.7740 0.4300  1 P 1.55
12 O 0.1477 0.6582 0.8397  1 P 1.56
13 O 0.2292 0.2325 0.8979  1 P 1.57
14 O 0.3264 0.0602 0.2286  1 H 0.98
15 O 0.3906 0.3601 0.6541  1 P 1.55
16 O 0.6094 0.6399 0.3459  1 P 1.55
17 O 0.6736 0.9398 0.7714  1 H 0.98
18 O 0.7708 0.7675 0.1021  1 P 1.57
19 O 0.8523 0.3418 0.1603  1 P 1.56
20 O 0.8949 0.2260 0.5700  1 P 1.55